CrSbBr2 | GGA-PBE | relaxed

Lattice parameters (Å, degrees): 4.351 3.623 7.784 90.00 96.18 90.00
Space group Pm (No. 6)
Unique sites:
1 Cr 0.000 0.000 0.000 (multiplicity 1)
2 Sb 0.496 0.500 0.947 (multiplicity 1)
3 Br 0.208 0.500 0.254 (multiplicity 1)
4 Br 0.802 0.000 0.686 (multiplicity 1)

Results
Raw total energy   -17.8 eV/cell
Raw formation energy   -0.177 eV per atom
Magnetic moment   3.4 μB per formula unit
Relative energy among the computed polymorphs   0.0 meV/atom
N(E_F)   1.44 states/eV/f.u.